# 1
Density functional theory data (PBE-GGA) for a geometry-optimized Tb2Nd5Dy4 structure.

The theoretical density comes out at 7.62 g cm⁻³. Its density of states at the Fermi level is 15.6 states/eV/f.u. The formation enthalpy at 0 K comes out at 0.8 eV per formula unit. As for the crystal system: monoclinic. For the energy relative to the lowest polymorph listed for this composition, the calculation gives 0 meV per atom. As for the space group: No. 12.

Structure (extended XYZ):
```
11
Lattice="8.883 -1.780 0.000 8.883 1.780 0.000 -0.816 0.000 11.642" Properties=species:S:1:pos:R:3 pbc="T T T"
Tb 3.550 0.000 4.113
Tb 13.400 0.000 7.530
Nd 0.000 0.000 0.000
Nd 4.985 0.000 10.818
Nd 6.792 0.000 5.404
Nd 10.157 0.000 6.238
Nd 11.964 0.000 0.825
Dy 1.846 0.000 9.263
Dy 7.654 0.000 8.613
Dy 9.295 0.000 3.029
Dy 15.103 0.000 2.379
```


# 2
Density functional theory data (PBE-GGA) for a geometry-optimized Tb2NdDy6 structure.

The theoretical density comes out at 8.31 g cm⁻³. Its density of states at the Fermi level is 10.8 states/eV/f.u. The formation enthalpy at 0 K comes out at 0.2 eV per formula unit. As for the crystal system: tetragonal. For the energy relative to the lowest polymorph listed for this composition, the calculation gives 0 meV per atom. As for the space group: No. 136.

Structure (extended XYZ):
```
18
Lattice="10.679 0.000 0.000 0.000 10.679 0.000 0.000 0.000 5.036" Properties=species:S:1:pos:R:3 pbc="T T T"
Tb 1.790 1.790 0.000
Tb 3.549 7.130 2.518
Tb 7.130 3.549 2.518
Tb 8.889 8.889 0.000
Nd 0.000 0.000 2.518
Nd 5.340 5.340 0.000
Dy 0.003 3.571 2.518
Dy 10.676 7.109 2.518
Dy 1.769 5.343 0.000
Dy 1.789 8.890 0.000
Dy 3.551 3.551 2.518
Dy 3.571 0.003 2.518
Dy 5.343 1.769 0.000
Dy 5.336 8.910 0.000
Dy 7.109 10.676 2.518
Dy 7.129 7.129 2.518
Dy 8.890 1.789 0.000
Dy 8.910 5.336 0.000
```


# 3
Density functional theory data (PBE-GGA) for a geometry-optimized Tb6Nd3Dy2 structure.

The theoretical density comes out at 7.92 g cm⁻³. Its density of states at the Fermi level is 13.8 states/eV/f.u. The formation enthalpy at 0 K comes out at 0.2 eV per formula unit. As for the crystal system: trigonal. For the energy relative to the lowest polymorph listed for this composition, the calculation gives 0 meV per atom. As for the space group: No. 166.

Structure (extended XYZ):
```
11
Lattice="1.795 1.036 32.146 -1.795 1.036 32.146 0.000 -2.073 32.146" Properties=species:S:1:pos:R:3 pbc="T T T"
Tb 0.000 0.000 8.872
Tb 0.000 0.000 17.521
Tb 0.000 0.000 35.099
Tb 0.000 0.000 61.338
Tb 0.000 0.000 78.916
Tb 0.000 0.000 87.566
Nd 0.000 0.000 0.000
Nd 0.000 0.000 26.240
Nd 0.000 0.000 70.198
Dy 0.000 0.000 43.892
Dy 0.000 0.000 52.545
```